[1]
4
Lattice="5.953 -3.396 0.000 5.953 3.396 0.000 -2.095 0.000 4.543" Properties=species:S:1:pos:R:3 comment="Rb2AgSn, relaxed, DFT GGA-PBE" spacegroup=C2 volume_a3_per_atom=45.9 formation_energy_ev_per_atom=-0.04 pbc="T T T"
Rb 1.837 0.000 0.853
Rb 7.973 0.000 3.690
Ag 4.905 1.062 2.272
Sn 5.953 0.038 0.000

=====

[2]
6
Lattice="-2.483 8.297 2.483 2.483 -8.297 2.483 2.483 8.297 -2.483" Properties=species:S:1:pos:R:3 comment="RbAgSn, relaxed, DFT GGA-PBE" spacegroup=Imm2 volume_a3_per_atom=34.1 formation_energy_ev_per_atom=-0.15 pbc="T T T"
Rb 0.000 2.818 0.000
Rb 0.000 13.776 0.000
Ag 0.000 0.000 2.490
Ag 0.000 8.297 2.480
Sn 2.483 -1.515 2.479
Sn 2.483 1.515 2.479

=====

[3]
5
Lattice="5.400 0.000 0.000 0.000 5.400 0.000 0.000 0.000 5.400" Properties=species:S:1:pos:R:3 comment="RbAg3Sn, relaxed, DFT GGA-PBE" spacegroup=Pm-3m volume_a3_per_atom=31.5 formation_energy_ev_per_atom=0.06 pbc="T T T"
Rb 0.000 0.000 0.000
Ag 0.000 2.700 2.700
Ag 2.700 0.000 2.700
Ag 2.700 2.700 0.000
Sn 2.700 2.700 2.700

=====

[4]
9
Lattice="6.934 0.000 0.000 -3.467 6.005 0.000 0.000 0.000 6.710" Properties=species:S:1:pos:R:3 comment="Rb2AgSn6, relaxed, DFT GGA-PBE" spacegroup=P-3m1 volume_a3_per_atom=31.0 formation_energy_ev_per_atom=-0.14 pbc="T T T"
Rb 0.000 4.003 2.437
Rb 3.467 2.002 4.274
Ag 0.000 0.000 3.355
Sn 0.000 2.034 5.608
Sn -1.705 4.988 5.608
Sn 1.762 1.017 1.102
Sn 1.705 4.988 5.608
Sn 5.172 1.017 1.102
Sn 3.467 3.971 1.102